[1]
{"formula": "LiCaMgSc", "functional": "PBE-GGA", "state": "relaxed", "total_energy_ev_per_atom": -2.86, "ef_ev_per_atom": 0.10, "cell": [[-4.411, -1.710, -2.402], [0.234, -1.867, -4.961], [-0.682, -5.180, -0.920]], "species": ["Mg", "Li", "Sc", "Ca"], "frac_coords": [[0.500, 0.500, 0.500], [0.000, 0.000, 0.000], [0.250, 0.250, 0.250], [0.750, 0.750, 0.750]]}

---

[2]
{"formula": "HgRuO2", "functional": "PBE-GGA", "state": "relaxed", "formation_energy_uncorrected_ev_per_atom": -0.3744, "total_energy_ev_per_atom": -5.25, "cell": [[6.083, 0.000, 0.000], [0.000, 6.083, 0.000], [3.042, 3.042, 4.258]], "species": ["O", "O", "Ru", "Ru", "Hg", "O", "O", "Hg"], "frac_coords": [[0.875, 0.673, 0.750], [0.327, 0.625, 0.250], [0.250, 0.750, 0.500], [0.500, 0.500, 0.000], [0.000, 0.000, 0.000], [0.375, 0.577, 0.750], [0.423, 0.125, 0.250], [0.750, 0.250, 0.500]]}

---

[3]
{"formula": "Dy6Sc5", "functional": "PBE-GGA", "state": "relaxed", "total_energy_ev_per_atom": -5.25, "ef_ev_per_atom": 0.14, "de_polymorph_ev_per_atom": 0.007, "cell": [[-5.965, 7.603, -0.300], [-6.461, 1.254, 4.450], [1.477, 4.274, 3.484]], "species": ["Sc", "Sc", "Sc", "Dy", "Dy", "Sc", "Dy", "Dy", "Dy", "Dy", "Sc"], "frac_coords": [[0.373, 0.253, 0.000], [0.500, 0.000, 0.500], [0.627, 0.747, 0.000], [0.334, 0.710, 0.866], [0.813, 0.000, 0.624], [0.766, 0.469, 0.500], [0.045, 0.290, 0.866], [0.666, 0.290, 0.134], [0.955, 0.710, 0.134], [0.187, 0.000, 0.376], [0.234, 0.531, 0.500]]}

---

[4]
{"formula": "HoSc2Pt2", "functional": "PBE-GGA", "state": "relaxed", "total_energy_ev_per_atom": -6.91, "ef_ev_per_atom": -1.04, "cell": [[4.704, 0.000, 0.000], [-2.352, 4.073, 0.000], [0.000, 0.000, 5.739]], "species": ["Sc", "Pt", "Sc", "Ho", "Pt"], "frac_coords": [[0.667, 0.333, 0.344], [0.333, 0.667, 0.185], [0.333, 0.667, 0.656], [0.000, 0.000, 0.000], [0.667, 0.333, 0.815]]}

---

[5]
{"formula": "Tl2CrCuRh", "functional": "PBE-GGA", "state": "relaxed", "total_energy_ev_per_atom": -4.24, "ef_ev_per_atom": 0.92, "cell": [[-1.533, -2.565, -3.914], [0.490, -4.064, 2.472], [-4.652, 0.392, 1.566]], "species": ["Tl", "Tl", "Rh", "Cu", "Cr"], "frac_coords": [[0.500, 0.000, 0.000], [0.000, 0.000, 0.500], [0.000, 0.500, 0.000], [0.000, 0.000, 0.000], [0.500, 0.500, 0.500]]}

---

[6]
{"formula": "Dy5PtRh4", "functional": "PBE-GGA", "state": "relaxed", "total_energy_ev_per_atom": -6.79, "ef_ev_per_atom": -0.95, "cell": [[-0.352, -3.352, 0.540], [2.775, -0.597, -1.897], [10.002, 1.243, 14.243]], "species": ["Dy", "Dy", "Rh", "Rh", "Rh", "Dy", "Dy", "Pt", "Rh", "Dy"], "frac_coords": [[0.500, 0.500, 0.301], [0.500, 0.500, 0.103], [0.000, 0.000, 0.202], [0.000, 0.000, 0.798], [0.000, 0.000, 0.400], [0.500, 0.500, 0.500], [0.500, 0.500, 0.699], [0.000, 0.000, 0.000], [0.000, 0.000, 0.600], [0.500, 0.500, 0.897]]}

---

[7]
{"formula": "PuPb2", "functional": "PBE-GGA", "state": "relaxed", "total_energy_ev_per_atom": -7.39, "ef_ev_per_atom": -0.14, "cell": [[-2.387, 2.387, 14.963], [2.387, -2.387, 14.963], [2.387, 2.387, -14.963]], "species": ["Pb", "Pu", "Pb", "Pb", "Pu", "Pu", "Pb", "Pb", "Pb", "Pb", "Pb", "Pu"], "frac_coords": [[0.001, 0.501, 0.500], [0.829, 0.329, 0.500], [0.164, 0.664, 0.500], [0.336, 0.836, 0.500], [0.671, 0.171, 0.500], [0.079, 0.079, 0.000], [0.251, 0.251, 0.000], [0.749, 0.749, 0.000], [0.586, 0.586, 0.000], [0.499, 0.999, 0.500], [0.414, 0.414, 0.000], [0.921, 0.921, 0.000]]}

---

[8]
{"formula": "Ca3BiB", "functional": "PBE-GGA", "state": "relaxed", "total_energy_ev_per_atom": -3.49, "ef_ev_per_atom": -0.18, "de_polymorph_ev_per_atom": 0.000, "cell": [[-1.773, -3.436, 3.491], [4.872, -1.624, 0.876], [0.511, 3.563, 3.766]], "species": ["Ca", "Bi", "Ca", "Ca", "B"], "frac_coords": [[0.000, 0.000, 0.500], [0.500, 0.500, 0.500], [0.000, 0.500, 0.000], [0.500, 0.000, 0.000], [0.000, 0.000, 0.000]]}

---

[9]
{"formula": "Er2Si9Ru3", "functional": "PBE-GGA", "state": "relaxed", "formation_energy_uncorrected_ev_per_atom": -0.4936, "total_energy_ev_per_atom": -6.62, "cell": [[6.868, -0.029, -2.872], [-4.044, 6.251, -0.016], [0.117, 0.087, 9.828]], "species": ["Ru", "Ru", "Si", "Si", "Si", "Si", "Si", "Ru", "Si", "Si", "Ru", "Er", "Ru", "Si", "Si", "Ru", "Si", "Si", "Si", "Er", "Si", "Er", "Si", "Si", "Er", "Si", "Si", "Si"], "frac_coords": [[0.824, 0.164, 0.500], [0.836, 0.676, 0.000], [0.859, 0.109, 0.750], [0.782, 0.304, 0.920], [0.220, 0.527, 0.580], [0.524, 0.082, 0.249], [0.141, 0.891, 0.250], [0.164, 0.324, 0.000], [0.218, 0.696, 0.080], [0.668, 0.725, 0.749], [0.500, 0.000, 0.000], [0.336, 0.249, 0.749], [0.176, 0.836, 0.500], [0.882, 0.024, 0.074], [0.450, 0.808, 0.426], [0.500, 0.500, 0.500], [0.780, 0.473, 0.420], [0.550, 0.192, 0.574], [0.115, 0.138, 0.420], [0.000, 0.586, 0.751], [0.476, 0.918, 0.751], [0.000, 0.414, 0.249], [0.553, 0.359, 0.080], [0.118, 0.976, 0.926], [0.664, 0.751, 0.251], [0.885, 0.862, 0.580], [0.332, 0.275, 0.251], [0.447, 0.641, 0.920]]}

---

[10]
{"formula": "TiNbGaRe", "functional": "PBE-GGA", "state": "relaxed", "total_energy_ev_per_atom": -8.60, "ef_ev_per_atom": -0.24, "cell": [[4.501, 0.000, 0.000], [2.250, 3.898, 0.000], [2.250, 1.299, 3.675]], "species": ["Re", "Ti", "Ga", "Nb"], "frac_coords": [[0.750, 0.750, 0.750], [0.000, 0.000, 0.000], [0.250, 0.250, 0.250], [0.500, 0.500, 0.500]]}

---

What did the seventh record say?
{"formula": "PuPb2", "functional": "PBE-GGA", "state": "relaxed", "total_energy_ev_per_atom": -7.39, "ef_ev_per_atom": -0.14, "cell": [[-2.387, 2.387, 14.963], [2.387, -2.387, 14.963], [2.387, 2.387, -14.963]], "species": ["Pb", "Pu", "Pb", "Pb", "Pu", "Pu", "Pb", "Pb", "Pb", "Pb", "Pb", "Pu"], "frac_coords": [[0.001, 0.501, 0.500], [0.829, 0.329, 0.500], [0.164, 0.664, 0.500], [0.336, 0.836, 0.500], [0.671, 0.171, 0.500], [0.079, 0.079, 0.000], [0.251, 0.251, 0.000], [0.749, 0.749, 0.000], [0.586, 0.586, 0.000], [0.499, 0.999, 0.500], [0.414, 0.414, 0.000], [0.921, 0.921, 0.000]]}